## GdLuGe2 (GGA-PBE)

Data for an optimized crystal structure of GdLuGe2.

Summary:
- formation enthalpy at 0 K (eV per atom) = -0.583
- ρ (g/cm³) = 8.73
- total magnetic moment (μB per formula unit) = 7.11

Structure (CIF):
```
data_GdLuGe2
_chemical_formula_sum 'Gd3 Lu3 Ge6'
_cell_length_a 5.1229
_cell_length_b 5.1229
_cell_length_c 11.9891
_cell_angle_alpha 90.00
_cell_angle_beta 90.00
_cell_angle_gamma 120.00
_symmetry_space_group_name_H-M 'R -3 m'
_symmetry_Int_Tables_number 166
_symmetry_space_group_name_Hall '-R 3 2"'
loop_
_atom_site_label
_atom_site_fract_x
_atom_site_fract_y
_atom_site_fract_z
Gd1 0.0000 0.0000 0.0000
Lu1 0.0000 0.0000 0.5000
Ge1 0.0000 0.0000 0.2513
```

## Al2Zn2Sb (GGA-PBE)

Data for an optimized crystal structure of Al2Zn2Sb.

Summary:
- ρ (g/cm³) = 5.31
- total magnetic moment (μB per formula unit) = 0.00
- VASP energy (eV per formula unit) = -13.5

Structure (CIF):
```
data_Al2Zn2Sb
_chemical_formula_sum 'Al4 Zn4 Sb2'
_cell_length_a 4.047
_cell_length_b 4.047
_cell_length_c 11.707
_cell_angle_alpha 90.00
_cell_angle_beta 90.00
_cell_angle_gamma 90.00
_symmetry_space_group_name_H-M 'I 4/m m m'
_symmetry_Int_Tables_number 139
_symmetry_space_group_name_Hall '-I 4 2'
loop_
_atom_site_label
_atom_site_fract_x
_atom_site_fract_y
_atom_site_fract_z
Al1 0.000 0.500 0.250
Zn1 0.000 0.000 0.105
Sb1 0.000 0.000 0.500
```

## Ni2AgPd (GGA-PBE)

Data for an optimized crystal structure of Ni2AgPd.

Summary:
- formation enthalpy at 0 K (eV per atom) = 0.211
- ρ (g/cm³) = 9.95
- total magnetic moment (μB per formula unit) = 1.04

Structure (CIF):
```
data_Ni2AgPd
_chemical_formula_sum 'Ni8 Ag4 Pd4'
_cell_length_a 6.050
_cell_length_b 6.050
_cell_length_c 6.050
_cell_angle_alpha 90.00
_cell_angle_beta 90.00
_cell_angle_gamma 90.00
_symmetry_space_group_name_H-M 'F m -3 m'
_symmetry_Int_Tables_number 225
_symmetry_space_group_name_Hall '-F 4 2 3'
loop_
_atom_site_label
_atom_site_fract_x
_atom_site_fract_y
_atom_site_fract_z
Ni1 0.250 0.250 0.250
Ag1 0.000 0.000 0.000
Pd1 0.000 0.000 0.500
```